(1)
Here is a relaxed KLiGa2 crystal from Alexandria. Energies are from PBE-GGA.

Computed properties:
Calculated formation energy, eV/atom: 0.169
Excess energy over the best structure of this formula in the dataset, meV per atom: 114
SG: Fm-3m

a b c (Å): 7.358 7.358 7.358
angles (deg): 90.00 90.00 90.00
Element x y z (fractional)
K 0.000 0.000 0.000
K 0.000 0.500 0.500
K 0.500 0.000 0.500
K 0.500 0.500 0.000
Li 0.000 0.000 0.500
Li 0.000 0.500 0.000
Li 0.500 0.000 0.000
Li 0.500 0.500 0.500
Ga 0.250 0.250 0.250
Ga 0.250 0.250 0.750
Ga 0.250 0.750 0.250
Ga 0.250 0.750 0.750
Ga 0.750 0.250 0.250
Ga 0.750 0.250 0.750
Ga 0.750 0.750 0.250
Ga 0.750 0.750 0.750

---

(2)
Here is a relaxed PdPtSe2N crystal from Alexandria. Energies are from PBE-GGA.

Computed properties:
Formation energy (no corrections), meV/atom: 1007
Excess energy over the best structure of this formula in the dataset, meV per atom: 305
SG: P4/mmm

a b c (Å): 5.093 5.093 3.625
angles (deg): 90.00 90.00 90.00
Element x y z (fractional)
Pd 0.000 0.000 0.000
Pt 0.500 0.500 0.500
Se 0.000 0.500 0.000
Se 0.500 0.000 0.000
N 0.000 0.000 0.500

---

(3)
Here is a relaxed NpTiO4 crystal from Alexandria. Energies are from PBE-GGA.

Computed properties:
Formation energy (no corrections), meV/atom: -2998
SG: C2/c

a b c (Å): 6.428 6.428 5.010
angles (deg): 109.58 109.58 115.99
Element x y z (fractional)
Np 0.135 0.865 0.750
Np 0.865 0.135 0.250
Ti 0.410 0.590 0.250
Ti 0.590 0.410 0.750
O 0.146 0.561 0.355
O 0.225 0.287 0.776
O 0.287 0.225 0.276
O 0.439 0.854 0.145
O 0.561 0.146 0.855
O 0.713 0.775 0.724
O 0.775 0.713 0.224
O 0.854 0.439 0.645

---

(4)
Here is a relaxed PrUTe2 crystal from Alexandria. Energies are from PBE-GGA.

Computed properties:
Formation energy (no corrections), meV/atom: -855
Excess energy over the best structure of this formula in the dataset, meV per atom: 0
SG: P4/mmm

a b c (Å): 3.810 3.810 7.741
angles (deg): 90.00 90.00 90.00
Element x y z (fractional)
Pr 0.000 0.000 0.000
U 0.000 0.000 0.500
Te 0.500 0.500 0.259
Te 0.500 0.500 0.741

---

(5)
Here is a relaxed PrPa2CuN4 crystal from Alexandria. Energies are from PBE-GGA.

Computed properties:
Formation energy (no corrections), meV/atom: -1218
SG: Cmcm

a b c (Å): 6.060 6.060 11.492
angles (deg): 90.00 90.00 145.74
Element x y z (fractional)
Pr 0.097 0.903 0.750
Pr 0.903 0.097 0.250
Pa 0.371 0.629 0.557
Pa 0.371 0.629 0.943
Pa 0.629 0.371 0.057
Pa 0.629 0.371 0.443
Cu 0.172 0.828 0.250
Cu 0.828 0.172 0.750
N 0.000 0.000 0.000
N 0.000 0.000 0.500
N 0.266 0.734 0.107
N 0.266 0.734 0.393
N 0.436 0.564 0.750
N 0.564 0.436 0.250
N 0.734 0.266 0.607
N 0.734 0.266 0.893

---

(6)
Here is a relaxed Cu2AsSe2S crystal from Alexandria. Energies are from PBE-GGA.

Computed properties:
Formation energy (no corrections), meV/atom: -142
SG: Cmc2_1

a b c (Å): 6.794 6.794 6.375
angles (deg): 90.00 90.00 67.34
Element x y z (fractional)
Cu 0.008 0.327 0.000
Cu 0.327 0.008 0.500
Cu 0.673 0.992 0.000
Cu 0.992 0.673 0.500
As 0.312 0.688 0.003
As 0.688 0.312 0.503
Se 0.029 0.321 0.375
Se 0.321 0.029 0.875
Se 0.679 0.971 0.375
Se 0.971 0.679 0.875
S 0.264 0.736 0.354
S 0.736 0.264 0.854

---

| no. | M_tot (μB per atom) | calculated density (g cm⁻³) |
| --- | --- | --- |
| 1 | 0.0000 | 3.09 |
| 2 | 0.1043 | 8.36 |
| 3 | 0.5000 | 8.04 |
| 4 | 0.9677 | 9.37 |
| 5 | 0.0000 | 10.10 |
| 6 | 0.0000 | 4.79 |